(1)
Density functional theory data (PBE-GGA) for a relaxed structure of Gd2ErTc.

a b c (Å): 10.9759 10.9759 10.9759
angles (deg): 17.99 17.99 17.99
Atoms (fractional coordinates):
Gd 0.1035 0.1035 0.1035
Gd 0.8965 0.8965 0.8965
Er 0.0000 0.0000 0.0000
Tc 0.5000 0.5000 0.5000

## Properties
* crystal system: trigonal
* D(E_F): 4.28 states/eV per cell
* volume: 27.54 A^3/atom
* energy of formation: 0.28 eV/atom
* relative energy among the computed polymorphs: 0.905 eV per formula unit
* space-group type: R-3m (166)

(2)
Density functional theory data (PBE-GGA) for a relaxed structure of GdErTc.

a b c (Å): 6.6949 6.6949 6.6949
angles (deg): 150.05 150.05 42.87
Atoms (fractional coordinates):
Gd 0.0000 0.0000 0.0000
Er 0.2610 0.2610 0.0000
Tc 0.6329 0.6329 0.0000

## Properties
* crystal system: tetragonal
* D(E_F): 3.44 states/eV per cell
* volume: 24.86 A^3/atom
* energy of formation: -0.05 eV/atom
* space-group type: I4mm (107)

(3)
Density functional theory data (PBE-GGA) for a relaxed structure of GdEr3Tc.

a b c (Å): 5.3471 5.3471 5.3471
angles (deg): 90.00 90.00 90.00
Atoms (fractional coordinates):
Gd 0.0000 0.0000 0.0000
Er 0.0000 0.5000 0.5000
Er 0.5000 0.0000 0.5000
Er 0.5000 0.5000 0.0000
Tc 0.5000 0.5000 0.5000

## Properties
* crystal system: cubic
* D(E_F): 9.22 states/eV per cell
* volume: 30.58 A^3/atom
* energy of formation: 0.11 eV/atom
* space-group type: Pm-3m (221)

(4)
Density functional theory data (PBE-GGA) for a relaxed structure of Gd3ErTc.

a b c (Å): 5.3881 5.3881 5.3881
angles (deg): 90.00 90.00 90.00
Atoms (fractional coordinates):
Gd 0.0000 0.0000 0.5000
Gd 0.0000 0.5000 0.0000
Gd 0.5000 0.0000 0.0000
Er 0.5000 0.5000 0.5000
Tc 0.0000 0.0000 0.0000

## Properties
* crystal system: cubic
* D(E_F): 5.89 states/eV per cell
* volume: 31.29 A^3/atom
* energy of formation: 0.14 eV/atom
* space-group type: Pm-3m (221)

(5)
Density functional theory data (PBE-GGA) for a relaxed structure of GdEr2Tc.

a b c (Å): 5.6575 5.6575 5.6575
angles (deg): 50.62 50.62 50.62
Atoms (fractional coordinates):
Gd 0.0000 0.0000 0.0000
Er 0.2286 0.2286 0.2286
Er 0.7714 0.7714 0.7714
Tc 0.5000 0.5000 0.5000

## Properties
* crystal system: trigonal
* D(E_F): 3.98 states/eV per cell
* volume: 24.93 A^3/atom
* energy of formation: 0.15 eV/atom
* space-group type: R-3m (166)

(6)
Density functional theory data (PBE-GGA) for a relaxed structure of GdErTe.

a b c (Å): 6.4077 6.4077 6.4077
angles (deg): 144.88 144.88 50.51
Atoms (fractional coordinates):
Gd 0.0000 0.0000 0.0000
Er 0.3100 0.3100 0.0000
Te 0.6626 0.6626 0.0000

## Properties
* crystal system: tetragonal
* D(E_F): 2.32 states/eV per cell
* volume: 28.88 A^3/atom
* relative energy among the computed polymorphs: 0.000 eV per formula unit
* energy relative to the elements, uncorrected: -778.7 meV per atom
* space-group type: I4mm (107)

(7)
Density functional theory data (PBE-GGA) for a relaxed structure of GdErTe.

a b c (Å): 5.1538 5.1538 3.9764
angles (deg): 90.00 90.00 120.00
Atoms (fractional coordinates):
Gd 0.0000 0.0000 0.0000
Er 0.3333 0.6667 0.4941
Te 0.6667 0.3333 0.3110

## Properties
* crystal system: trigonal
* D(E_F): 3.34 states/eV per cell
* volume: 30.49 A^3/atom
* relative energy among the computed polymorphs: 0.848 eV per formula unit
* energy relative to the elements, uncorrected: -495.9 meV per atom
* space-group type: P3m1 (156)

(8)
Density functional theory data (PBE-GGA) for a relaxed structure of Gd2ErTe.

a b c (Å): 11.0022 11.0022 11.0022
angles (deg): 19.91 19.91 19.91
Atoms (fractional coordinates):
Gd 0.1007 0.1007 0.1007
Gd 0.8993 0.8993 0.8993
Er 0.0000 0.0000 0.0000
Te 0.5000 0.5000 0.5000

## Properties
* crystal system: trigonal
* D(E_F): 7.88 states/eV per cell
* volume: 33.76 A^3/atom
* relative energy among the computed polymorphs: 1.351 eV per formula unit
* energy relative to the elements, uncorrected: -255.7 meV per atom
* space-group type: R-3m (166)

(9)
Density functional theory data (PBE-GGA) for a relaxed structure of GdEr2Te.

a b c (Å): 10.8792 10.8792 10.8792
angles (deg): 20.09 20.09 20.09
Atoms (fractional coordinates):
Gd 0.0000 0.0000 0.0000
Er 0.1019 0.1019 0.1019
Er 0.8981 0.8981 0.8981
Te 0.5000 0.5000 0.5000

## Properties
* crystal system: trigonal
* D(E_F): 6.47 states/eV per cell
* volume: 33.23 A^3/atom
* relative energy among the computed polymorphs: 1.230 eV per formula unit
* energy relative to the elements, uncorrected: -228.5 meV per atom
* space-group type: R-3m (166)

(10)
Density functional theory data (PBE-GGA) for a relaxed structure of GdEr2Te.

a b c (Å): 3.8462 3.8462 7.8287
angles (deg): 90.00 90.00 90.00
Atoms (fractional coordinates):
Gd 0.0000 0.0000 0.0000
Er 0.5000 0.5000 0.2760
Er 0.5000 0.5000 0.7240
Te 0.0000 0.0000 0.5000

## Properties
* crystal system: tetragonal
* D(E_F): 5.00 states/eV per cell
* volume: 28.95 A^3/atom
* relative energy among the computed polymorphs: 0.000 eV per formula unit
* energy relative to the elements, uncorrected: -535.9 meV per atom
* space-group type: P4/mmm (123)

(11)
Density functional theory data (PBE-GGA) for a relaxed structure of Gd2ErTe.

a b c (Å): 3.9195 3.9195 7.7444
angles (deg): 90.00 90.00 90.00
Atoms (fractional coordinates):
Gd 0.0000 0.0000 0.2259
Gd 0.0000 0.0000 0.7741
Er 0.5000 0.5000 0.5000
Te 0.5000 0.5000 0.0000

## Properties
* crystal system: tetragonal
* D(E_F): 3.82 states/eV per cell
* volume: 29.74 A^3/atom
* relative energy among the computed polymorphs: 0.000 eV per formula unit
* energy relative to the elements, uncorrected: -593.4 meV per atom
* space-group type: P4/mmm (123)

(12)
Density functional theory data (PBE-GGA) for a relaxed structure of Gd2ErTh.

a b c (Å): 3.5631 3.5631 10.0782
angles (deg): 90.00 90.00 90.00
Atoms (fractional coordinates):
Gd 0.0000 0.0000 0.2453
Gd 0.0000 0.0000 0.7547
Er 0.5000 0.5000 0.5000
Th 0.5000 0.5000 0.0000

## Properties
* crystal system: tetragonal
* D(E_F): 6.96 states/eV per cell
* volume: 31.99 A^3/atom
* energy of formation: 0.04 eV/atom
* relative energy among the computed polymorphs: 0.012 eV per formula unit
* space-group type: P4/mmm (123)